# TlPt2Au

A geometry-optimized TlPt2Au structure (PBE, Alexandria via LeMat-Bulk).

a = 4.2459 Å, b = 4.2459 Å, c = 7.9372 Å
α = 90.00°, β = 90.00°, γ = 90.00°
With the nearest neighbours (Å) after each atom.
Space group I4/mmm (No. 139)
Inequivalent atoms, fractional coordinates:
Tl 0.0000 0.0000 0.0000  8 Pt 2.91, 4 Au 3.00
Pt 0.0000 0.5000 0.2500  4 Tl 2.91, 4 Au 2.91, 4 Pt 3.00
Au 0.0000 0.0000 0.5000  8 Pt 2.91, 4 Tl 3.00

Output
- ΔE_f: 0.014 eV per atom